Entry 1:
DFT (PBE) results for a geometry-optimized CaScGa structure.

Results
* relative energy among the computed polymorphs: 64 meV/atom
* Fermi-level density of states: 2.025 states/eV per cell
* DFT formation energy: -337 meV per atom

a = 6.484 Å, b = 4.933 Å, c = 9.111 Å
α = 90.00°, β = 90.00°, γ = 90.00°
Positions (direct):
Ca: 0.172 0.250 0.074
Ca: 0.328 0.750 0.574
Ca: 0.672 0.250 0.426
Ca: 0.828 0.750 0.926
Sc: 0.022 0.250 0.693
Sc: 0.478 0.750 0.193
Sc: 0.522 0.250 0.807
Sc: 0.978 0.750 0.307
Ga: 0.196 0.250 0.399
Ga: 0.304 0.750 0.899
Ga: 0.696 0.250 0.101
Ga: 0.804 0.750 0.601

***

Entry 2:
DFT (PBE) results for a geometry-optimized Ca3ScGa structure.

Results
* Fermi-level density of states: 6.499 states/eV per cell
* DFT formation energy: 807 meV per atom

a = 5.930 Å, b = 5.930 Å, c = 5.930 Å
α = 90.00°, β = 90.00°, γ = 90.00°
Positions (direct):
Ca: 0.000 0.000 0.500
Ca: 0.000 0.500 0.000
Ca: 0.500 0.000 0.000
Sc: 0.000 0.000 0.000
Ga: 0.500 0.500 0.500

***

Entry 3:
DFT (PBE) results for a geometry-optimized CaScGa structure.

Results
* relative energy among the computed polymorphs: 14 meV/atom
* Fermi-level density of states: 3.378 states/eV per cell
* DFT formation energy: -387 meV per atom

a = 4.678 Å, b = 4.678 Å, c = 7.215 Å
α = 90.00°, β = 90.00°, γ = 90.00°
Positions (direct):
Ca: 0.250 0.250 0.142
Ca: 0.750 0.750 0.858
Sc: 0.250 0.750 0.500
Sc: 0.750 0.250 0.500
Ga: 0.250 0.250 0.717
Ga: 0.750 0.750 0.283